1.
An optimized crystal structure of VTe2RhC. Source: Alexandria via LeMat-Bulk, functional PBE.

Results
D(E_F) in states/eV/f.u.: 4.8
Formation energy (no corrections) in eV per atom: 1.765

Cell and atoms, written as CIF:
```
data_VTe2RhC
_cell_length_a 5.1239
_cell_length_b 5.1239
_cell_length_c 4.4942
_cell_angle_alpha 90.00
_cell_angle_beta 90.00
_cell_angle_gamma 90.00
_symmetry_space_group_name_H-M 'P 4/m m m'
_symmetry_Int_Tables_number 123
_symmetry_space_group_name_Hall '-P 4 2'
loop_
_atom_site_label
_atom_site_type_symbol
_atom_site_fract_x
_atom_site_fract_y
_atom_site_fract_z
V1 V 0.0000 0.0000 0.0000
Te1 Te 0.0000 0.5000 0.0000
Rh1 Rh 0.0000 0.0000 0.5000
C1 C 0.5000 0.5000 0.5000
```

---

2.
An optimized crystal structure of Tb2NdSm3Er6. Source: Alexandria via LeMat-Bulk, functional PBE.

Results
D(E_F) in states/eV/f.u.: 14.4

Cell and atoms, written as CIF:
```
data_Tb2NdSm3Er6
_cell_length_a 6.1755
_cell_length_b 10.6906
_cell_length_c 11.7334
_cell_angle_alpha 90.00
_cell_angle_beta 100.06
_cell_angle_gamma 90.00
_symmetry_space_group_name_H-M 'C 1 2/m 1'
_symmetry_Int_Tables_number 12
_symmetry_space_group_name_Hall '-C 2y'
loop_
_atom_site_label
_atom_site_type_symbol
_atom_site_fract_x
_atom_site_fract_y
_atom_site_fract_z
Tb1 Tb 0.0000 0.1667 0.0000
Nd1 Nd 0.0000 0.5000 0.0000
Sm1 Sm 0.0000 0.0000 0.5000
Sm2 Sm 0.0000 0.3332 0.5000
Er1 Er 0.2497 0.0000 0.2493
Er2 Er 0.2495 0.1669 0.7506
```

---

3.
An optimized crystal structure of Na2SrHgF8. Source: Alexandria via LeMat-Bulk, functional PBE.

Results
D(E_F) in states/eV/f.u.: 2.8
Formation energy (no corrections) in eV per atom: -2.265

Cell and atoms, written as CIF:
```
data_Na2SrHgF8
_cell_length_a 4.1718
_cell_length_b 7.8207
_cell_length_c 5.5060
_cell_angle_alpha 90.00
_cell_angle_beta 94.61
_cell_angle_gamma 90.00
_symmetry_space_group_name_H-M 'P 1 2/m 1'
_symmetry_Int_Tables_number 10
_symmetry_space_group_name_Hall '-P 2y'
loop_
_atom_site_label
_atom_site_type_symbol
_atom_site_fract_x
_atom_site_fract_y
_atom_site_fract_z
Na1 Na 0.0000 0.2456 0.0000
Sr1 Sr 0.5000 0.5000 0.5000
Hg1 Hg 0.5000 0.0000 0.5000
F1 F 0.0104 0.5000 0.7541
F2 F 0.0682 0.0000 0.2645
F3 F 0.4500 0.2249 0.7407
```

---

4.
An optimized crystal structure of LaPr6Y3. Source: Alexandria via LeMat-Bulk, functional PBE.

Results
D(E_F) in states/eV/f.u.: 12.3

Cell and atoms, written as CIF:
```
data_LaPr6Y3
_cell_length_a 6.3926
_cell_length_b 9.4799
_cell_length_c 13.2988
_cell_angle_alpha 90.00
_cell_angle_beta 117.97
_cell_angle_gamma 90.00
_symmetry_space_group_name_H-M 'P 1 21/c 1'
_symmetry_Int_Tables_number 14
_symmetry_space_group_name_Hall '-P 2ybc'
loop_
_atom_site_label
_atom_site_type_symbol
_atom_site_fract_x
_atom_site_fract_y
_atom_site_fract_z
La1 La 0.0000 0.0000 0.0000
Pr1 Pr 0.0809 0.1513 0.5760
Pr2 Pr 0.1037 0.0367 0.2510
Pr3 Pr 0.4287 0.1553 0.9222
Y1 Y 0.3808 0.6773 0.2536
Y2 Y 0.5000 0.0000 0.5000
```

---

5.
An optimized crystal structure of LiYGa4. Source: Alexandria via LeMat-Bulk, functional PBE.

Results
D(E_F) in states/eV/f.u.: 4.3
Relative energy among the computed polymorphs in eV per atom: 0.137

Cell and atoms, written as CIF:
```
data_LiYGa4
_cell_length_a 7.7225
_cell_length_b 7.7225
_cell_length_c 7.7225
_cell_angle_alpha 90.00
_cell_angle_beta 90.00
_cell_angle_gamma 90.00
_symmetry_space_group_name_H-M 'F -4 3 m'
_symmetry_Int_Tables_number 216
_symmetry_space_group_name_Hall 'F -4 2 3'
loop_
_atom_site_label
_atom_site_type_symbol
_atom_site_fract_x
_atom_site_fract_y
_atom_site_fract_z
Li1 Li 0.0000 0.0000 0.0000
Y1 Y 0.2500 0.2500 0.2500
Ga1 Ga 0.1252 0.1252 0.6252
```

---

6.
An optimized crystal structure of Ho2AlSi2. Source: Alexandria via LeMat-Bulk, functional PBE.

Results
D(E_F) in states/eV/f.u.: 2.5
Formation energy (no corrections) in eV per atom: -0.720

Cell and atoms, written as CIF:
```
data_Ho2AlSi2
_cell_length_a 4.0742
_cell_length_b 5.7006
_cell_length_c 8.6609
_cell_angle_alpha 90.00
_cell_angle_beta 90.00
_cell_angle_gamma 90.00
_symmetry_space_group_name_H-M 'I m m m'
_symmetry_Int_Tables_number 71
_symmetry_space_group_name_Hall '-I 2 2'
loop_
_atom_site_label
_atom_site_type_symbol
_atom_site_fract_x
_atom_site_fract_y
_atom_site_fract_z
Ho1 Ho 0.0000 0.0000 0.2104
Al1 Al 0.0000 0.5000 0.0000
Si1 Si 0.0000 0.2895 0.5000
```

---

7.
An optimized crystal structure of Pm3ZnN. Source: Alexandria via LeMat-Bulk, functional PBE.

Results
D(E_F) in states/eV/f.u.: 2.1
Formation energy (no corrections) in eV per atom: -0.720
Relative energy among the computed polymorphs in eV per atom: 0.000

Cell and atoms, written as CIF:
```
data_Pm3ZnN
_cell_length_a 7.0458
_cell_length_b 9.8305
_cell_length_c 6.8321
_cell_angle_alpha 90.00
_cell_angle_beta 90.00
_cell_angle_gamma 90.00
_symmetry_space_group_name_H-M 'P n m a'
_symmetry_Int_Tables_number 62
_symmetry_space_group_name_Hall '-P 2ac 2n'
loop_
_atom_site_label
_atom_site_type_symbol
_atom_site_fract_x
_atom_site_fract_y
_atom_site_fract_z
Pm1 Pm 0.0164 0.2500 0.0871
Pm2 Pm 0.2211 0.0421 0.7187
Zn1 Zn 0.0350 0.7500 0.4807
N1 N 0.0000 0.0000 0.0000
```

---

8.
An optimized crystal structure of K4Mn3SnCl12. Source: Alexandria via LeMat-Bulk, functional PBE.

Results
Formation energy (no corrections) in eV per atom: -1.403

Cell and atoms, written as CIF:
```
data_K4Mn3SnCl12
_cell_length_a 10.3773
_cell_length_b 10.3773
_cell_length_c 10.3773
_cell_angle_alpha 90.00
_cell_angle_beta 90.00
_cell_angle_gamma 90.00
_symmetry_space_group_name_H-M 'I m -3 m'
_symmetry_Int_Tables_number 229
_symmetry_space_group_name_Hall '-I 4 2 3'
loop_
_atom_site_label
_atom_site_type_symbol
_atom_site_fract_x
_atom_site_fract_y
_atom_site_fract_z
K1 K 0.2500 0.2500 0.2500
Mn1 Mn 0.0000 0.0000 0.5000
Sn1 Sn 0.0000 0.0000 0.0000
Cl1 Cl 0.0000 0.0000 0.2650
Cl2 Cl 0.0000 0.2500 0.5000
```

---

9.
An optimized crystal structure of Ac8SiSb4Se3. Source: Alexandria via LeMat-Bulk, functional PBE.

Results
D(E_F) in states/eV/f.u.: 4.4
Formation energy (no corrections) in eV per atom: -1.409

Cell and atoms, written as CIF:
```
data_Ac8SiSb4Se3
_cell_length_a 9.3226
_cell_length_b 9.3226
_cell_length_c 22.7890
_cell_angle_alpha 90.00
_cell_angle_beta 90.00
_cell_angle_gamma 120.00
_symmetry_space_group_name_H-M 'R -3 m'
_symmetry_Int_Tables_number 166
_symmetry_space_group_name_Hall '-R 3 2"'
loop_
_atom_site_label
_atom_site_type_symbol
_atom_site_fract_x
_atom_site_fract_y
_atom_site_fract_z
Ac1 Ac 0.0000 0.0000 0.2485
Ac2 Ac 0.0068 0.5034 0.2462
Si1 Si 0.0000 0.0000 0.5000
Sb1 Sb 0.0000 0.0000 0.0000
Sb2 Sb 0.0000 0.5000 0.0000
Se1 Se 0.0000 0.5000 0.5000
```

---

10.
An optimized crystal structure of ScZnIn. Source: Alexandria via LeMat-Bulk, functional PBE.

Results
D(E_F) in states/eV/f.u.: 2.2

Cell and atoms, written as CIF:
```
data_ScZnIn
_cell_length_a 5.3952
_cell_length_b 3.2002
_cell_length_c 7.5007
_cell_angle_alpha 90.00
_cell_angle_beta 106.03
_cell_angle_gamma 90.00
_symmetry_space_group_name_H-M 'P 1 2/m 1'
_symmetry_Int_Tables_number 10
_symmetry_space_group_name_Hall '-P 2y'
loop_
_atom_site_label
_atom_site_type_symbol
_atom_site_fract_x
_atom_site_fract_y
_atom_site_fract_z
Sc1 Sc 0.1073 0.0000 0.3034
Zn1 Zn 0.2362 0.5000 0.0026
In1 In 0.3768 0.5000 0.6691
```

---

11.
An optimized crystal structure of Cr2RuWN. Source: Alexandria via LeMat-Bulk, functional PBE.

Results
D(E_F) in states/eV/f.u.: 5.2
Formation energy (no corrections) in eV per atom: -0.129

Cell and atoms, written as CIF:
```
data_Cr2RuWN
_cell_length_a 3.8504
_cell_length_b 3.8504
_cell_length_c 4.0633
_cell_angle_alpha 90.00
_cell_angle_beta 90.00
_cell_angle_gamma 90.00
_symmetry_space_group_name_H-M 'P 4/m m m'
_symmetry_Int_Tables_number 123
_symmetry_space_group_name_Hall '-P 4 2'
loop_
_atom_site_label
_atom_site_type_symbol
_atom_site_fract_x
_atom_site_fract_y
_atom_site_fract_z
Cr1 Cr 0.0000 0.5000 0.0000
Ru1 Ru 0.0000 0.0000 0.5000
W1 W 0.5000 0.5000 0.5000
N1 N 0.5000 0.5000 0.0000
```

---

12.
An optimized crystal structure of AsP2S6. Source: Alexandria via LeMat-Bulk, functional PBE.

Results
D(E_F) in states/eV/f.u.: 1.7
Formation energy (no corrections) in eV per atom: 0.030

Cell and atoms, written as CIF:
```
data_AsP2S6
_cell_length_a 12.1409
_cell_length_b 11.0498
_cell_length_c 7.3053
_cell_angle_alpha 90.00
_cell_angle_beta 111.46
_cell_angle_gamma 90.00
_symmetry_space_group_name_H-M 'C 1 2/c 1'
_symmetry_Int_Tables_number 15
_symmetry_space_group_name_Hall '-C 2yc'
loop_
_atom_site_label
_atom_site_type_symbol
_atom_site_fract_x
_atom_site_fract_y
_atom_site_fract_z
As1 As 0.0000 0.1290 0.2500
P1 P 0.2090 0.4146 0.2858
S1 S 0.1137 0.0960 0.6352
S2 S 0.1349 0.4873 0.9415
S3 S 0.1498 0.2365 0.1931
```

---

Number 1: uncorrected energy -4.63 eV/atom. Number 2: uncorrected energy -4.61 eV/atom. Number 3: uncorrected energy -3.90 eV/atom. Number 4: uncorrected energy -5.10 eV/atom. Number 5: uncorrected energy -3.78 eV/atom. Number 6: uncorrected energy -5.47 eV/atom. Number 7: uncorrected energy -5.49 eV/atom. Number 8: uncorrected energy -4.31 eV/atom. Number 9: uncorrected energy -5.49 eV/atom. Number 10: uncorrected energy -3.75 eV/atom. Number 11: uncorrected energy -10.09 eV/atom. Number 12: uncorrected energy -4.44 eV/atom.